--- 1 ---
A relaxed PmYGeAu crystal. Source: the Alexandria database, functional PBE.

Geometry as CIF:
```
data_PmYGeAu
_chemical_formula_sum 'Pm2 Y2 Ge2 Au2'
_symmetry_space_group_name_H-M 'A m m 2'
_symmetry_Int_Tables_number 38
_cell_length_a 4.3617
_cell_length_b 4.1034
_cell_length_c 11.1519
_cell_angle_alpha 90.00
_cell_angle_beta 90.00
_cell_angle_gamma 90.00
loop_
_symmetry_equiv_pos_as_xyz
'x,y,z'
'-x,-y,z'
'-x,y,z'
'x,-y,z'
'x,y+1/2,z+1/2'
'-x,-y+1/2,z+1/2'
'-x,y+1/2,z+1/2'
'x,-y+1/2,z+1/2'
loop_
_atom_site_label
_atom_site_fract_x
_atom_site_fract_y
_atom_site_fract_z
Pm1 0.0000 0.0000 0.0000
Y1 0.5000 0.0000 0.2782
Ge1 0.0000 0.0000 0.7285
Au1 0.5000 0.0000 0.5604
```

Density = 8.4 g/cm³
D(E_F) = 2.59 states/eV/f.u.

***

--- 2 ---
A relaxed PmYGeAu crystal. Source: the Alexandria database, functional PBE.

Geometry as CIF:
```
data_PmYGeAu
_chemical_formula_sum 'Pm4 Y4 Ge4 Au4'
_symmetry_space_group_name_H-M 'F -4 3 m'
_symmetry_Int_Tables_number 216
_symmetry_space_group_name_Hall 'F -4 2 3'
_cell_length_a 7.2833
_cell_length_b 7.2833
_cell_length_c 7.2833
_cell_angle_alpha 90.00
_cell_angle_beta 90.00
_cell_angle_gamma 90.00
loop_
_atom_site_label
_atom_site_fract_x
_atom_site_fract_y
_atom_site_fract_z
Pm1 0.0000 0.0000 0.0000
Y1 0.0000 0.0000 0.5000
Ge1 0.2500 0.2500 0.7500
Au1 0.2500 0.2500 0.2500
```

Density = 8.7 g/cm³
D(E_F) = 3.63 states/eV/f.u.

***

Of them, 1 has the highest stability.